1.
{"formula": "Co2HPt", "functional": "SCAN", "state": "PBEsol geometry", "lattice": [[-2.7000, 2.7000, 2.7337], [2.7000, -2.7000, 2.7337], [2.7000, 2.7000, -2.7337]], "species": ["Co", "Co", "Co", "Co", "H", "H", "Pt", "Pt"], "fractional_positions": [[0.3750, 0.0022, 0.1272], [0.7522, 0.6250, 0.6272], [0.8750, 0.2478, 0.8728], [0.9978, 0.1250, 0.3728], [0.0000, 0.0000, 0.0000], [0.7500, 0.2500, 0.5000], [0.2500, 0.7500, 0.5000], [0.5000, 0.5000, 0.0000]], "dft_energy_ev_per_cell": -215.017, "volume_a3_per_cell": 80}


2.
{"formula": "Co3HPt", "functional": "SCAN", "state": "PBEsol geometry", "lattice": [[3.6336, 0.0000, 0.0000], [0.0000, 3.6336, 0.0000], [0.0000, 0.0000, 3.6336]], "species": ["Co", "Co", "Co", "H", "Pt"], "fractional_positions": [[0.0000, 0.0000, 0.5000], [0.0000, 0.5000, 0.0000], [0.5000, 0.0000, 0.0000], [0.0000, 0.0000, 0.0000], [0.5000, 0.5000, 0.5000]], "dft_energy_ev_per_cell": -125.659, "volume_a3_per_cell": 48}


3.
{"formula": "Co2H2Pt", "functional": "SCAN", "state": "PBEsol geometry", "lattice": [[-1.5891, 1.5891, 3.9734], [1.5891, -1.5891, 3.9734], [1.5891, 1.5891, -3.9734]], "species": ["Co", "Co", "H", "H", "Pt"], "fractional_positions": [[0.1702, 0.1702, 0.0000], [0.8298, 0.8298, 0.0000], [0.2500, 0.7500, 0.5000], [0.7500, 0.2500, 0.5000], [0.5000, 0.5000, 0.0000]], "dft_energy_ev_per_cell": -110.834, "volume_a3_per_cell": 40}


4.
{"formula": "CoHPtSe2", "functional": "SCAN", "state": "PBEsol geometry", "lattice": [[4.4607, 0.0000, 0.0000], [0.0000, 4.4607, 0.0000], [0.0000, 0.0000, 3.1844]], "species": ["Co", "H", "Pt", "Se", "Se"], "fractional_positions": [[0.0000, 0.0000, 0.0000], [0.0000, 0.0000, 0.5000], [0.5000, 0.5000, 0.0000], [0.0000, 0.5000, 0.5000], [0.5000, 0.0000, 0.5000]], "dft_energy_ev_per_cell": -128.413, "volume_a3_per_cell": 63}


5.
{"formula": "RbCo2H", "functional": "SCAN", "state": "PBEsol geometry", "lattice": [[0.0000, 3.8409, 3.8409], [3.8409, 0.0000, 3.8409], [3.8409, 3.8409, 0.0000]], "species": ["Rb", "Rb", "Co", "Co", "Co", "Co", "H", "H"], "fractional_positions": [[0.1250, 0.1250, 0.1250], [0.8750, 0.8750, 0.8750], [0.0000, 0.5000, 0.5000], [0.5000, 0.0000, 0.5000], [0.5000, 0.5000, 0.0000], [0.5000, 0.5000, 0.5000], [0.3750, 0.3750, 0.3750], [0.6250, 0.6250, 0.6250]], "dft_energy_ev_per_cell": -111.303, "volume_a3_per_cell": 113}


6.
{"formula": "Co2ReH", "functional": "SCAN", "state": "PBEsol geometry", "lattice": [[0.0000, 2.7551, 2.7551], [2.7551, 0.0000, 2.7551], [2.7551, 2.7551, 0.0000]], "species": ["Co", "Co", "Re", "H"], "fractional_positions": [[0.2500, 0.2500, 0.2500], [0.7500, 0.7500, 0.7500], [0.0000, 0.0000, 0.0000], [0.5000, 0.5000, 0.5000]], "dft_energy_ev_per_cell": -105.758, "volume_a3_per_cell": 42}


7.
{"formula": "CoRe3H", "functional": "SCAN", "state": "PBEsol geometry", "lattice": [[3.8327, 0.0000, 0.0000], [0.0000, 3.8327, 0.0000], [0.0000, 0.0000, 3.8327]], "species": ["Co", "Re", "Re", "Re", "H"], "fractional_positions": [[0.0000, 0.0000, 0.0000], [0.0000, 0.5000, 0.5000], [0.5000, 0.0000, 0.5000], [0.5000, 0.5000, 0.0000], [0.5000, 0.5000, 0.5000]], "dft_energy_ev_per_cell": -232.641, "volume_a3_per_cell": 56}


8.
{"formula": "CoReHRh2", "functional": "SCAN", "state": "PBEsol geometry", "lattice": [[4.6955, 0.0000, 0.0000], [0.0000, 4.6955, 0.0000], [0.0000, 0.0000, 3.1128]], "species": ["Co", "Re", "H", "Rh", "Rh"], "fractional_positions": [[0.0000, 0.0000, 0.0000], [0.5000, 0.5000, 0.5000], [0.5000, 0.5000, 0.0000], [0.0000, 0.5000, 0.5000], [0.5000, 0.0000, 0.5000]], "dft_energy_ev_per_cell": -154.383, "volume_a3_per_cell": 69}


9.
{"formula": "CoH2Rh", "functional": "SCAN", "state": "PBEsol geometry", "lattice": [[-1.9602, 1.9602, 3.9541], [1.9602, -1.9602, 3.9541], [1.9602, 1.9602, -3.9541]], "species": ["Co", "Co", "H", "H", "H", "H", "Rh", "Rh"], "fractional_positions": [[0.0000, 0.0000, 0.0000], [0.7500, 0.2500, 0.5000], [0.1001, 0.6250, 0.9751], [0.3750, 0.3501, 0.4751], [0.6499, 0.1250, 0.0249], [0.8750, 0.8999, 0.5249], [0.2500, 0.7500, 0.5000], [0.5000, 0.5000, 0.0000]], "dft_energy_ev_per_cell": -115.161, "volume_a3_per_cell": 61}


10.
{"formula": "Co2HRu2", "functional": "SCAN", "state": "PBEsol geometry", "lattice": [[-1.5217, 1.5217, 6.2021], [1.5217, -1.5217, 6.2021], [1.5217, 1.5217, -6.2021]], "species": ["Co", "Co", "H", "Ru", "Ru"], "fractional_positions": [[0.2500, 0.7500, 0.5000], [0.7500, 0.2500, 0.5000], [0.0000, 0.0000, 0.0000], [0.4067, 0.4067, 0.0000], [0.5933, 0.5933, 0.0000]], "dft_energy_ev_per_cell": -102.815, "volume_a3_per_cell": 57}


11.
{"formula": "Co2HS2", "functional": "SCAN", "state": "PBEsol geometry", "lattice": [[-1.7173, 1.7173, 5.8071], [1.7173, -1.7173, 5.8071], [1.7173, 1.7173, -5.8071]], "species": ["Co", "Co", "H", "S", "S"], "fractional_positions": [[0.2500, 0.7500, 0.5000], [0.7500, 0.2500, 0.5000], [0.0000, 0.0000, 0.0000], [0.3624, 0.3624, 0.0000], [0.6376, 0.6376, 0.0000]], "dft_energy_ev_per_cell": -56.410, "volume_a3_per_cell": 69}


12.
{"formula": "CoSbTe2H", "functional": "SCAN", "state": "PBEsol geometry", "lattice": [[4.9964, 0.0000, 0.0000], [0.0000, 4.9964, 0.0000], [0.0000, 0.0000, 4.7690]], "species": ["Co", "Sb", "Te", "Te", "H"], "fractional_positions": [[0.0000, 0.0000, 0.0000], [0.0000, 0.0000, 0.5000], [0.0000, 0.5000, 0.0000], [0.5000, 0.0000, 0.0000], [0.5000, 0.5000, 0.5000]], "dft_energy_ev_per_cell": -128.380, "volume_a3_per_cell": 119}